Record 1
The following is a PBE calculation of an optimized crystal structure of Na5Cd3Pb3, from the Alexandria database.

- Distance to the lowest polymorph of the same formula: 8 meV per atom
- Symmetry: P-62m

a = 3.366 Å, b = 10.745 Å, c = 10.745 Å
α = 120.00°, β = 90.00°, γ = 90.00°
Fractional coordinates of all 11 atoms:
Pb (0.500, 0.604, 0.604)
Pb (0.500, 0.000, 0.396)
Pb (0.500, 0.396, 0.000)
Cd (0.000, 0.843, 0.843)
Cd (0.000, 0.000, 0.157)
Cd (0.000, 0.157, 0.000)
Na (0.500, 0.000, 0.694)
Na (0.500, 0.306, 0.306)
Na (0.500, 0.694, 0.000)
Na (0.500, 0.333, 0.667)
Na (0.500, 0.667, 0.333)

=====

Record 2
The following is a PBE calculation of an optimized crystal structure of Na2CdPb3, from the Alexandria database.

- Distance to the lowest polymorph of the same formula: 37 meV per atom
- Symmetry: C2/m

a = 6.298 Å, b = 6.251 Å, c = 10.548 Å
α = 84.24°, β = 78.52°, γ = 59.75°
Fractional coordinates of all 12 atoms:
Pb (0.279, 0.000, 0.240)
Pb (0.425, 0.650, 0.760)
Pb (0.075, 0.350, 0.760)
Pb (0.925, 0.650, 0.240)
Pb (0.721, 0.000, 0.760)
Pb (0.575, 0.350, 0.240)
Na (0.500, 0.000, 0.500)
Na (0.165, 0.669, 0.500)
Na (0.835, 0.331, 0.500)
Na (0.000, 0.000, 0.000)
Cd (0.330, 0.340, 0.000)
Cd (0.670, 0.660, 0.000)

=====

Record 3
The following is a PBE calculation of an optimized crystal structure of Na7Cd2Pb2, from the Alexandria database.

- Distance to the lowest polymorph of the same formula: 0 meV per atom
- Symmetry: C2/m

a = 6.410 Å, b = 6.410 Å, c = 8.628 Å
α = 103.05°, β = 103.05°, γ = 95.38°
Fractional coordinates of all 11 atoms:
Na (0.106, 0.480, 0.820)
Na (0.836, 0.836, 0.565)
Na (0.520, 0.894, 0.180)
Na (0.164, 0.164, 0.435)
Na (0.894, 0.520, 0.180)
Na (0.480, 0.106, 0.820)
Na (0.000, 0.000, 0.000)
Pb (0.611, 0.611, 0.816)
Pb (0.389, 0.389, 0.184)
Cd (0.692, 0.308, 0.500)
Cd (0.308, 0.692, 0.500)

=====

Record 4
The following is a PBE calculation of an optimized crystal structure of Na3CdPb6, from the Alexandria database.

- E_tot: -0.2059 Ry/atom
- Symmetry: P2_1/m

a = 5.615 Å, b = 9.141 Å, c = 12.189 Å
α = 111.52°, β = 90.00°, γ = 90.00°
Fractional coordinates of all 20 atoms:
Cd (0.250, 0.400, 0.435)
Cd (0.750, 0.600, 0.565)
Na (0.250, 0.596, 0.229)
Na (0.250, 0.800, 0.024)
Na (0.750, 0.200, 0.976)
Na (0.250, 0.188, 0.630)
Na (0.750, 0.404, 0.771)
Na (0.750, 0.812, 0.370)
Pb (0.750, 0.599, 0.062)
Pb (0.250, 0.782, 0.526)
Pb (0.250, 0.401, 0.938)
Pb (0.750, 0.796, 0.858)
Pb (0.250, 0.204, 0.142)
Pb (0.750, 0.412, 0.278)
Pb (0.250, 0.588, 0.722)
Pb (0.750, 0.218, 0.474)
Pb (0.750, 0.999, 0.170)
Pb (0.250, 0.014, 0.336)
Pb (0.750, 0.986, 0.664)
Pb (0.250, 0.001, 0.830)

=====

Record 5
The following is a PBE calculation of an optimized crystal structure of NaCd4Pb4, from the Alexandria database.

- E_tot: -0.1589 Ry/atom
- Symmetry: P4_2/n

a = 6.250 Å, b = 8.969 Å, c = 8.969 Å
α = 90.00°, β = 90.00°, γ = 90.00°
Fractional coordinates of all 18 atoms:
Pb (0.640, 0.836, 0.578)
Pb (0.860, 0.336, 0.078)
Pb (0.360, 0.422, 0.836)
Pb (0.640, 0.164, 0.422)
Pb (0.140, 0.922, 0.336)
Pb (0.860, 0.664, 0.922)
Pb (0.360, 0.578, 0.164)
Pb (0.140, 0.078, 0.664)
Cd (0.385, 0.804, 0.888)
Cd (0.115, 0.304, 0.388)
Cd (0.615, 0.112, 0.804)
Cd (0.885, 0.612, 0.304)
Cd (0.385, 0.196, 0.112)
Cd (0.115, 0.696, 0.612)
Cd (0.615, 0.888, 0.196)
Cd (0.885, 0.388, 0.696)
Na (0.500, 0.500, 0.500)
Na (0.000, 0.000, 0.000)

=====

Record 6
The following is a PBE calculation of an optimized crystal structure of Na3Cd2Pb6, from the Alexandria database.

- E_tot: -0.1929 Ry/atom
- Symmetry: P-1

a = 3.618 Å, b = 5.907 Å, c = 15.897 Å
α = 86.80°, β = 103.56°, γ = 107.23°
Fractional coordinates of all 11 atoms:
Pb (0.091, 0.290, 0.447)
Pb (0.169, 0.531, 0.902)
Pb (0.831, 0.469, 0.098)
Pb (0.909, 0.710, 0.553)
Pb (0.348, 0.076, 0.812)
Pb (0.652, 0.924, 0.188)
Cd (0.532, 0.619, 0.725)
Cd (0.468, 0.381, 0.275)
Na (0.285, 0.829, 0.367)
Na (0.715, 0.171, 0.633)
Na (0.000, 0.000, 0.000)

=====

Record 7
The following is a PBE calculation of an optimized crystal structure of Na5CdPb2, from the Alexandria database.

- Distance to the lowest polymorph of the same formula: 0 meV per atom
- Symmetry: P6_3/mmc

a = 5.559 Å, b = 5.559 Å, c = 19.717 Å
α = 90.00°, β = 90.00°, γ = 120.00°
Fractional coordinates of all 16 atoms:
Na (0.667, 0.333, 0.444)
Na (0.000, 0.000, 0.646)
Na (0.000, 0.000, 0.146)
Na (0.333, 0.667, 0.556)
Na (0.333, 0.667, 0.944)
Na (0.667, 0.333, 0.056)
Na (0.000, 0.000, 0.354)
Na (0.000, 0.000, 0.854)
Na (0.667, 0.333, 0.250)
Na (0.333, 0.667, 0.750)
Pb (0.667, 0.333, 0.892)
Pb (0.333, 0.667, 0.108)
Pb (0.667, 0.333, 0.608)
Pb (0.333, 0.667, 0.392)
Cd (0.333, 0.667, 0.250)
Cd (0.667, 0.333, 0.750)

=====

Record 8
The following is a PBE calculation of an optimized crystal structure of NaCd17Pb, from the Alexandria database.

- E_tot: -0.0792 Ry/atom
- Symmetry: R3m

a = 7.792 Å, b = 7.792 Å, c = 7.792 Å
α = 82.36°, β = 82.36°, γ = 82.36°
Fractional coordinates of all 19 atoms:
Cd (0.362, 0.822, 0.362)
Cd (0.021, 0.021, 0.483)
Cd (0.000, 0.305, 0.702)
Cd (0.702, 0.305, 0.000)
Cd (0.305, 0.702, 0.000)
Cd (0.305, 0.000, 0.702)
Cd (0.895, 0.895, 0.895)
Cd (0.362, 0.362, 0.822)
Cd (0.822, 0.362, 0.362)
Cd (0.702, 0.000, 0.305)
Cd (0.021, 0.483, 0.021)
Cd (0.097, 0.097, 0.097)
Cd (0.000, 0.702, 0.305)
Cd (0.653, 0.137, 0.653)
Cd (0.137, 0.653, 0.653)
Cd (0.483, 0.021, 0.021)
Cd (0.653, 0.653, 0.137)
Na (0.342, 0.342, 0.342)
Pb (0.635, 0.635, 0.635)

=====

Number 1: DOS(E_F) 6.5 states/eV/cell. Number 2: DOS(E_F) 5.0 states/eV/cell. Number 3: DOS(E_F) 4.7 states/eV/cell. Number 4: DOS(E_F) 7.5 states/eV/cell. Number 5: DOS(E_F) 8.8 states/eV/cell. Number 6: DOS(E_F) 4.9 states/eV/cell. Number 7: DOS(E_F) 7.0 states/eV/cell. Number 8: DOS(E_F) 5.6 states/eV/cell.